one | Entry from the Alexandria database: TbSm2Ti after structural relaxation (PBE).

Mass density ... 7.14 g/cm3
Spin magnetization ... 1.72 μB per formula unit

a = 12.0370 Å, b = 12.0370 Å, c = 12.0370 Å
α = 16.18°, β = 16.18°, γ = 16.18°
Element x y z (fractional)
1 Tb 0.0000 0.0000 0.0000
2 Sm 0.4168 0.4168 0.4168
3 Sm 0.5832 0.5832 0.5832
4 Ti 0.5000 0.5000 0.5000

---

two | Entry from the Alexandria database: TbSm2Ti after structural relaxation (PBE).

Mass density ... 7.38 g/cm3
Spin magnetization ... 0.00 μB per formula unit

a = 3.4632 Å, b = 3.4632 Å, c = 9.5220 Å
α = 90.00°, β = 90.00°, γ = 90.00°
Element x y z (fractional)
1 Tb 0.0000 0.0000 0.0000
2 Sm 0.5000 0.5000 0.2786
3 Sm 0.5000 0.5000 0.7214
4 Ti 0.0000 0.0000 0.5000

---

Which is the most stable structure? two is the most stable.

---

one | Entry from the Alexandria database: TbSm4Tl after structural relaxation (PBE).

Mass density ... 8.32 g/cm3
Spin magnetization ... 0.00 μB per formula unit

a = 3.6447 Å, b = 3.6447 Å, c = 14.4974 Å
α = 90.00°, β = 90.00°, γ = 90.00°
Element x y z (fractional)
1 Tb 0.0000 0.0000 0.0000
2 Sm 0.0000 0.0000 0.3515
3 Sm 0.0000 0.0000 0.6485
4 Sm 0.5000 0.5000 0.1746
5 Sm 0.5000 0.5000 0.8254
6 Tl 0.5000 0.5000 0.5000

---

two | Entry from the Alexandria database: TbSm4Tl after structural relaxation (PBE).

Mass density ... 8.18 g/cm3
Spin magnetization ... 0.00 μB per formula unit

a = 8.4052 Å, b = 8.4052 Å, c = 6.5595 Å
α = 100.06°, β = 100.06°, γ = 116.38°
Element x y z (fractional)
1 Tb 0.0887 0.9113 0.7500
2 Tb 0.9113 0.0887 0.2500
3 Sm 0.0924 0.3362 0.8788
4 Sm 0.2136 0.5937 0.4565
5 Sm 0.3362 0.0924 0.3788
6 Sm 0.4063 0.7864 0.0435
7 Sm 0.5937 0.2136 0.9565
8 Sm 0.6638 0.9076 0.6212
9 Sm 0.7864 0.4063 0.5435
10 Sm 0.9076 0.6638 0.1212
11 Tl 0.5004 0.4996 0.2500
12 Tl 0.4996 0.5004 0.7500

---

Which is the most stable structure? one is the most stable.

---

one | Entry from the Alexandria database: Tb6SmTl2 after structural relaxation (PBE).

Mass density ... 9.06 g/cm3
Spin magnetization ... 0.00 μB per formula unit

a = 6.7150 Å, b = 6.7150 Å, c = 12.0002 Å
α = 107.27°, β = 107.27°, γ = 32.60°
Element x y z (fractional)
1 Tb 0.0116 0.0116 0.3455
2 Tb 0.3092 0.3092 0.4161
3 Tb 0.3127 0.3127 0.1255
4 Tb 0.6873 0.6873 0.8745
5 Tb 0.6908 0.6908 0.5839
6 Tb 0.9884 0.9884 0.6545
7 Sm 0.0000 0.0000 0.0000
8 Tl 0.3601 0.3601 0.7891
9 Tl 0.6399 0.6399 0.2109

---

two | Entry from the Alexandria database: Tb6SmTl2 after structural relaxation (PBE).

Mass density ... 7.44 g/cm3
Spin magnetization ... 0.00 μB per formula unit

a = 11.3810 Å, b = 11.3810 Å, c = 11.3810 Å
α = 151.37°, β = 151.37°, γ = 40.94°
Element x y z (fractional)
1 Tb 0.1283 0.7379 0.0000
2 Tb 0.2500 0.7500 0.5000
3 Tb 0.2621 0.2621 0.3904
4 Tb 0.7379 0.1283 0.0000
5 Tb 0.7500 0.2500 0.5000
6 Tb 0.8717 0.8717 0.6096
7 Sm 0.5000 0.5000 0.0000
8 Tl 0.1895 0.1895 0.0000
9 Tl 0.8105 0.8105 0.0000

---

Which is the most stable structure? one is the most stable.

---

one | Entry from the Alexandria database: Tb5Sm4Tl after structural relaxation (PBE).

Mass density ... 7.89 g/cm3
Spin magnetization ... 0.00 μB per formula unit

a = 8.1238 Å, b = 8.1238 Å, c = 8.1238 Å
α = 97.50°, β = 97.50°, γ = 137.66°
Element x y z (fractional)
1 Tb 0.0000 0.0000 0.0000
2 Tb 0.5222 0.5222 0.6294
3 Tb 0.5222 0.8929 0.0000
4 Tb 0.8929 0.5222 0.0000
5 Tb 0.8929 0.8929 0.3706
6 Sm 0.1981 0.5121 0.3140
7 Sm 0.1981 0.8842 0.6860
8 Sm 0.5121 0.1981 0.3140
9 Sm 0.8842 0.1981 0.6860
10 Tl 0.4814 0.4814 0.0000

---

two | Entry from the Alexandria database: Tb5Sm4Tl after structural relaxation (PBE).

Mass density ... 8.39 g/cm3
Spin magnetization ... 0.00 μB per formula unit

a = 4.1728 Å, b = 4.1728 Å, c = 18.1933 Å
α = 90.00°, β = 90.00°, γ = 90.00°
Element x y z (fractional)
1 Tb 0.0000 0.0000 0.0000
2 Tb 0.0000 0.0000 0.2062
3 Tb 0.0000 0.0000 0.4110
4 Tb 0.0000 0.0000 0.5890
5 Tb 0.0000 0.0000 0.7938
6 Sm 0.5000 0.5000 0.1013
7 Sm 0.5000 0.5000 0.3027
8 Sm 0.5000 0.5000 0.6973
9 Sm 0.5000 0.5000 0.8987
10 Tl 0.5000 0.5000 0.5000

---

Which is the most stable structure? two is the most stable.

---

one | Entry from the Alexandria database: Tb8Sm2Tl after structural relaxation (PBE).

Mass density ... 8.57 g/cm3
Spin magnetization ... 0.00 μB per formula unit

a = 9.3819 Å, b = 9.3819 Å, c = 7.9340 Å
α = 104.89°, β = 104.89°, γ = 30.77°
Element x y z (fractional)
1 Tb 0.0446 0.0446 0.2233
2 Tb 0.1350 0.1350 0.6766
3 Tb 0.3196 0.3196 0.5909
4 Tb 0.4105 0.4105 0.0561
5 Tb 0.5895 0.5895 0.9439
6 Tb 0.6804 0.6804 0.4091
7 Tb 0.8650 0.8650 0.3234
8 Tb 0.9554 0.9554 0.7767
9 Sm 0.2227 0.2227 0.1354
10 Sm 0.7773 0.7773 0.8646
11 Tl 0.5000 0.5000 0.5000

---

two | Entry from the Alexandria database: Tb8Sm2Tl after structural relaxation (PBE).

Mass density ... 8.22 g/cm3
Spin magnetization ... 0.00 μB per formula unit

a = 9.8172 Å, b = 9.8172 Å, c = 9.8172 Å
α = 147.68°, β = 134.41°, γ = 56.99°
Element x y z (fractional)
1 Tb 0.1329 0.3629 0.7700
2 Tb 0.1802 0.1802 0.0000
3 Tb 0.2605 0.0000 0.2605
4 Tb 0.4071 0.6371 0.7700
5 Tb 0.5929 0.3629 0.2300
6 Tb 0.7395 0.0000 0.7395
7 Tb 0.8198 0.8198 0.0000
8 Tb 0.8671 0.6371 0.2300
9 Sm 0.3070 0.8070 0.5000
10 Sm 0.6930 0.1930 0.5000
11 Tl 0.0000 0.5000 0.5000

---

Which is the most stable structure? one is the most stable.

---

one | Entry from the Alexandria database: TbSm3Tl3 after structural relaxation (PBE).

Mass density ... 9.54 g/cm3
Spin magnetization ... 0.00 μB per formula unit

a = 9.4800 Å, b = 9.4800 Å, c = 9.4800 Å
α = 90.00°, β = 90.00°, γ = 90.00°
Element x y z (fractional)
1 Tb 0.0733 0.4267 0.5733
2 Tb 0.4267 0.5733 0.0733
3 Tb 0.5733 0.0733 0.4267
4 Tb 0.9267 0.9267 0.9267
5 Sm 0.0715 0.5715 0.9285
6 Sm 0.1752 0.1752 0.1752
7 Sm 0.1760 0.8240 0.3240
8 Sm 0.3240 0.1760 0.8240
9 Sm 0.3248 0.8248 0.6752
10 Sm 0.4285 0.4285 0.4285
11 Sm 0.5715 0.9285 0.0715
12 Sm 0.6752 0.3248 0.8248
13 Sm 0.6760 0.6760 0.6760
14 Sm 0.8240 0.3240 0.1760
15 Sm 0.8248 0.6752 0.3248
16 Sm 0.9285 0.0715 0.5715
17 Tl 0.9995 0.2479 0.8713
18 Tl 0.0005 0.7479 0.6287
19 Tl 0.1287 0.4995 0.2521
20 Tl 0.2479 0.8713 0.9995
21 Tl 0.2521 0.1287 0.4995
22 Tl 0.3713 0.5005 0.7521
23 Tl 0.4995 0.2521 0.1287
24 Tl 0.5005 0.7521 0.3713
25 Tl 0.6287 0.0005 0.7479
26 Tl 0.7479 0.6287 0.0005
27 Tl 0.7521 0.3713 0.5005
28 Tl 0.8713 0.9995 0.2479

---

two | Entry from the Alexandria database: TbSm3Tl3 after structural relaxation (PBE).

Mass density ... 9.67 g/cm3
Spin magnetization ... 0.00 μB per formula unit

a = 9.5759 Å, b = 9.5759 Å, c = 5.2908 Å
α = 90.00°, β = 90.00°, γ = 120.00°
Element x y z (fractional)
1 Tb 0.3333 0.6667 0.2500
2 Tb 0.6667 0.3333 0.7500
3 Sm 0.0008 0.2383 0.2500
4 Sm 0.2375 0.9992 0.2500
5 Sm 0.2383 0.2375 0.7500
6 Sm 0.7617 0.7625 0.2500
7 Sm 0.7625 0.0008 0.7500
8 Sm 0.9992 0.7617 0.7500
9 Tl 0.0705 0.4513 0.7500
10 Tl 0.3807 0.9295 0.7500
11 Tl 0.4513 0.3807 0.2500
12 Tl 0.5487 0.6193 0.7500
13 Tl 0.6193 0.0705 0.2500
14 Tl 0.9295 0.5487 0.2500

---

Which is the most stable structure? one is the most stable.

---

one | Entry from the Alexandria database: Tb4SmTl after structural relaxation (PBE).

Mass density ... 8.80 g/cm3
Spin magnetization ... 0.00 μB per formula unit

a = 3.6104 Å, b = 3.6104 Å, c = 14.3324 Å
α = 90.00°, β = 90.00°, γ = 90.00°
Element x y z (fractional)
1 Tb 0.0000 0.0000 0.1483
2 Tb 0.0000 0.0000 0.8517
3 Tb 0.5000 0.5000 0.3226
4 Tb 0.5000 0.5000 0.6774
5 Sm 0.0000 0.0000 0.5000
6 Tl 0.5000 0.5000 0.0000

---

two | Entry from the Alexandria database: Tb4SmTl after structural relaxation (PBE).

Mass density ... 8.48 g/cm3
Spin magnetization ... 0.00 μB per formula unit

a = 10.9576 Å, b = 10.9576 Å, c = 6.5440 Å
α = 90.00°, β = 90.00°, γ = 150.42°
Element x y z (fractional)
1 Tb 0.0399 0.9601 0.5000
2 Tb 0.1832 0.8168 0.6774
3 Tb 0.2465 0.7535 0.2017
4 Tb 0.3627 0.6373 0.8315
5 Tb 0.6373 0.3627 0.3315
6 Tb 0.7535 0.2465 0.7017
7 Tb 0.8168 0.1832 0.1774
8 Tb 0.9601 0.0399 0.0000
9 Sm 0.4356 0.5644 0.3244
10 Sm 0.5644 0.4356 0.8244
11 Tl 0.1038 0.8962 0.0743
12 Tl 0.8962 0.1038 0.5743

---

Which is the most stable structure? one is the most stable.

---

one | Entry from the Alexandria database: Tb2Sm4Tl after structural relaxation (PBE).

Mass density ... 8.28 g/cm3
Spin magnetization ... 0.00 μB per formula unit

a = 5.7601 Å, b = 6.8295 Å, c = 11.7684 Å
α = 90.00°, β = 103.16°, γ = 90.00°
Element x y z (fractional)
1 Tb 0.0406 0.2500 0.4779
2 Tb 0.3087 0.7500 0.0645
3 Tb 0.6913 0.2500 0.9355
4 Tb 0.9594 0.7500 0.5221
5 Sm 0.1648 0.0106 0.7900
6 Sm 0.1648 0.4894 0.7900
7 Sm 0.2547 0.2500 0.0809
8 Sm 0.3907 0.7500 0.3631
9 Sm 0.6093 0.2500 0.6369
10 Sm 0.7453 0.7500 0.9191
11 Sm 0.8352 0.5106 0.2100
12 Sm 0.8352 0.9894 0.2100
13 Tl 0.4765 0.2500 0.3541
14 Tl 0.5235 0.7500 0.6459

---

two | Entry from the Alexandria database: Tb2Sm4Tl after structural relaxation (PBE).

Mass density ... 7.76 g/cm3
Spin magnetization ... 0.00 μB per formula unit

a = 8.2352 Å, b = 8.2352 Å, c = 3.5461 Å
α = 90.00°, β = 90.00°, γ = 90.00°
Element x y z (fractional)
1 Tb 0.0000 0.5000 0.0000
2 Tb 0.5000 0.0000 0.0000
3 Sm 0.2146 0.2146 0.4887
4 Sm 0.2146 0.7854 0.5113
5 Sm 0.7854 0.2146 0.5113
6 Sm 0.7854 0.7854 0.4887
7 Tl 0.5000 0.5000 0.5000

---

Which is the most stable structure? one is the most stable.